# 1
This record from OQMD describes a geometry-optimized ErPuTa structure. The functional is PBE-GGA.

Cell lengths 6.7197, 6.7197, 6.7197 Å; angles 90.00, 90.00, 90.00 degrees
Space group F-43m (No. 216)
Unique sites:
Er: 0.0000 0.0000 0.0000
Pu: 0.2500 0.2500 0.2500
Ta: 0.0000 0.0000 0.5000

## Properties
ΔE_f = 3.6 eV per formula unit



# 2
This record from OQMD describes a geometry-optimized TbErPu structure. The functional is PBE-GGA.

Cell lengths 7.5622, 7.5622, 7.5622 Å; angles 90.00, 90.00, 90.00 degrees
Space group F-43m (No. 216)
Unique sites:
Tb: 0.0000 0.0000 0.0000
Er: 0.0000 0.0000 0.5000
Pu: 0.2500 0.2500 0.7500

## Properties
Relative energy among the computed polymorphs = 0.0 meV per atom
ΔE_f = 2.4 eV per formula unit



# 3
This record from OQMD describes a geometry-optimized ErPuW structure. The functional is PBE-GGA.

Cell lengths 6.7600, 6.7600, 6.7600 Å; angles 90.00, 90.00, 90.00 degrees
Space group F-43m (No. 216)
Unique sites:
Er: 0.0000 0.0000 0.0000
Pu: 0.0000 0.0000 0.5000
W: 0.2500 0.2500 0.7500

## Properties
Relative energy among the computed polymorphs = 0.0 meV per atom
ΔE_f = 2.1 eV per formula unit



# 4
This record from OQMD describes a geometry-optimized YErPu structure. The functional is PBE-GGA.

Cell lengths 7.3383, 7.3383, 7.3383 Å; angles 90.00, 90.00, 90.00 degrees
Space group F-43m (No. 216)
Unique sites:
Y: 0.0000 0.0000 0.0000
Er: 0.2500 0.2500 0.7500
Pu: 0.0000 0.0000 0.5000

## Properties
Relative energy among the computed polymorphs = 0.0 meV per atom
ΔE_f = 2.6 eV per formula unit



# 5
This record from OQMD describes a geometry-optimized ErPuZn structure. The functional is PBE-GGA.

Cell lengths 6.9285, 6.9285, 6.9285 Å; angles 90.00, 90.00, 90.00 degrees
Space group F-43m (No. 216)
Unique sites:
Er: 0.0000 0.0000 0.0000
Pu: 0.0000 0.0000 0.5000
Zn: 0.2500 0.2500 0.2500

## Properties
Relative energy among the computed polymorphs = 0.0 meV per atom
ΔE_f = 0.5 eV per formula unit



# 6
This record from OQMD describes a geometry-optimized Rb2Er structure. The functional is PBE-GGA.

Cell lengths 10.9239, 10.9239, 10.9239 Å; angles 90.00, 90.00, 90.00 degrees
Space group Fd-3m (No. 227, origin choice 2)
Unique sites:
Rb: 0.0000 0.0000 0.0000
Er: 0.1250 0.1250 0.6250

## Properties
Calculated total energy = -1.34 eV/atom



# 7
This record from OQMD describes a geometry-optimized Rb2Er structure. The functional is PBE-GGA.

Cell lengths 18.1140, 18.1140, 18.1140 Å; angles 90.00, 90.00, 90.00 degrees
Space group Fd-3m (No. 227, origin choice 2)
Unique sites:
Rb: 0.0000 0.0000 0.0000
Er: 0.1250 0.1250 0.1250

## Properties
Calculated total energy = -0.71 eV/atom



# 8
This record from OQMD describes a geometry-optimized Rb2Er structure. The functional is PBE-GGA.

Cell lengths 9.7637, 9.7637, 9.7637 Å; angles 90.00, 90.00, 90.00 degrees
Space group Fm-3m (No. 225)
Unique sites:
Rb: 0.2500 0.2500 0.2500
Er: 0.0000 0.0000 0.0000

## Properties
Calculated total energy = -1.13 eV/atom